First-principles (GGA-PBE) data for crystalline Rb2CeTiS4 at its relaxed geometry, as listed in Alexandria.

abc: 7.160 7.160 7.160
angles: 117.34 117.34 94.68
Sites, in units of the cell vectors:
Rb: 0.000 0.000 0.000
Rb: 0.750 0.250 0.500
Ce: 0.500 0.500 0.000
Ti: 0.250 0.750 0.500
S: 0.202 0.636 0.111
S: 0.364 0.474 0.566
S: 0.526 0.091 0.889
S: 0.909 0.798 0.434

Properties
- Theoretical density: 3.01 g/cm3
- Calculated total energy: -5.389 eV per atom
- Formation energy without anion corrections: -1.355 eV/atom